{
  "formula": "Ti2BeCdSn",
  "functional": "PBE",
  "state": "relaxed",
  "cell": [[5.134, 0.000, 0.000], [0.000, 5.134, 0.000], [0.000, 0.000, 4.374]],
  "species": ["Ti", "Ti", "Be", "Cd", "Sn"],
  "fractional_positions": [[0.000, 0.500, 0.000], [0.500, 0.000, 0.000], [0.000, 0.000, 0.500], [0.500, 0.500, 0.500], [0.000, 0.000, 0.000]],
  "magnetic_moment_mub_per_atom": 0.00,
  "volume_a3_per_fu": 115.3,
  "formation_enthalpy_0k_ev_per_atom": 0.8910,
  "final_energy_ev_per_atom": -4.00
}

{
  "formula": "SeSF2",
  "functional": "PBE",
  "state": "relaxed",
  "cell": [[-1.885, 1.885, 7.910], [1.885, -1.885, 7.910], [1.885, 1.885, -7.910]],
  "species": ["Se", "Se", "S", "S", "F", "F", "F", "F"],
  "fractional_positions": [[0.000, 0.000, 0.000], [0.750, 0.250, 0.500], [0.250, 0.750, 0.500], [0.500, 0.500, 0.000], [0.092, 0.625, 0.967], [0.375, 0.342, 0.467], [0.658, 0.125, 0.033], [0.875, 0.908, 0.533]],
  "polymorph_energy_ev_per_atom": 0.197,
  "magnetic_moment_mub_per_atom": 0.12,
  "e_form_raw_ev_per_atom": -0.246,
  "volume_a3_per_fu": 56.2,
  "final_energy_ev_per_atom": -3.08
}

{
  "formula": "CsSb5Te8",
  "functional": "PBE",
  "state": "relaxed",
  "cell": [[11.348, -2.185, 0.000], [11.348, 2.185, 0.000], [-2.572, 0.000, 10.667]],
  "species": ["Cs", "Sb", "Sb", "Sb", "Sb", "Sb", "Te", "Te", "Te", "Te", "Te", "Te", "Te", "Te"],
  "fractional_positions": [[0.000, 0.000, 0.000], [0.156, 0.156, 0.478], [0.206, 0.206, 0.844], [0.500, 0.500, 0.500], [0.794, 0.794, 0.156], [0.843, 0.843, 0.523], [0.074, 0.074, 0.664], [0.264, 0.264, 0.340], [0.334, 0.334, 0.999], [0.415, 0.415, 0.683], [0.584, 0.584, 0.318], [0.666, 0.666, 0.002], [0.736, 0.736, 0.660], [0.926, 0.926, 0.336]],
  "magnetic_moment_mub_per_atom": 0.00,
  "e_form_raw_ev_per_atom": -0.237,
  "volume_a3_per_fu": 529.0,
  "final_energy_ev_per_atom": -3.57
}

{
  "formula": "Ca5Sm3Te8",
  "functional": "PBE",
  "state": "relaxed",
  "cell": [[4.461, 2.576, 7.377], [-4.461, 2.576, 7.377], [0.000, -5.151, 7.377]],
  "species": ["Ca", "Ca", "Ca", "Ca", "Ca", "Sm", "Sm", "Sm", "Te", "Te", "Te", "Te", "Te", "Te", "Te", "Te"],
  "fractional_positions": [[0.000, 0.000, 0.000], [0.000, 0.500, 0.500], [0.500, 0.000, 0.500], [0.500, 0.500, 0.000], [0.500, 0.500, 0.500], [0.000, 0.000, 0.500], [0.000, 0.500, 0.000], [0.500, 0.000, 0.000], [0.250, 0.250, 0.250], [0.250, 0.250, 0.750], [0.250, 0.750, 0.250], [0.250, 0.750, 0.750], [0.750, 0.250, 0.250], [0.750, 0.250, 0.750], [0.750, 0.750, 0.250], [0.750, 0.750, 0.750]],
  "magnetic_moment_mub_per_atom": 0.00,
  "e_form_raw_ev_per_atom": -1.532,
  "volume_a3_per_fu": 508.5,
  "final_energy_ev_per_atom": -4.61
}

{
  "formula": "La2MoPt2",
  "functional": "PBE",
  "state": "relaxed",
  "cell": [[7.117, 0.000, 0.000], [0.000, 7.117, 0.000], [0.000, 0.000, 4.606]],
  "species": ["La", "La", "La", "La", "Mo", "Mo", "Pt", "Pt", "Pt", "Pt"],
  "fractional_positions": [[0.174, 0.326, 0.000], [0.326, 0.826, 0.000], [0.674, 0.174, 0.000], [0.826, 0.674, 0.000], [0.000, 0.000, 0.500], [0.500, 0.500, 0.500], [0.141, 0.641, 0.500], [0.359, 0.141, 0.500], [0.641, 0.859, 0.500], [0.859, 0.359, 0.500]],
  "magnetic_moment_mub_per_atom": 0.00,
  "volume_a3_per_fu": 116.7,
  "formation_enthalpy_0k_ev_per_atom": -0.4478,
  "final_energy_ev_per_atom": -7.00
}

{
  "formula": "In3Pb",
  "functional": "PBE",
  "state": "relaxed",
  "cell": [[-2.396, 2.396, 9.873], [2.396, -2.396, 9.873], [2.396, 2.396, -9.873]],
  "species": ["In", "In", "In", "In", "In", "In", "Pb", "Pb"],
  "fractional_positions": [[0.000, 0.500, 0.500], [0.124, 0.124, 0.000], [0.250, 0.750, 0.500], [0.500, 0.000, 0.500], [0.750, 0.250, 0.500], [0.876, 0.876, 0.000], [0.374, 0.374, 0.000], [0.626, 0.626, 0.000]],
  "magnetic_moment_mub_per_atom": 0.00,
  "volume_a3_per_fu": 113.4,
  "formation_enthalpy_0k_ev_per_atom": 0.0207,
  "final_energy_ev_per_atom": -2.96
}

{
  "formula": "RbZn3Te",
  "functional": "PBE",
  "state": "relaxed",
  "cell": [[5.675, 0.000, 0.000], [0.000, 5.675, 0.000], [0.000, 0.000, 5.675]],
  "species": ["Rb", "Zn", "Zn", "Zn", "Te"],
  "fractional_positions": [[0.000, 0.000, 0.000], [0.000, 0.500, 0.500], [0.500, 0.000, 0.500], [0.500, 0.500, 0.000], [0.500, 0.500, 0.500]],
  "polymorph_energy_ev_per_atom": 0.000,
  "magnetic_moment_mub_per_atom": 0.00,
  "e_form_raw_ev_per_atom": 0.313,
  "volume_a3_per_fu": 182.7,
  "final_energy_ev_per_atom": -1.27
}

{
  "formula": "SmScPb",
  "functional": "PBE",
  "state": "relaxed",
  "cell": [[3.540, 0.000, 0.000], [0.000, 4.223, 0.000], [0.000, 0.000, 11.192]],
  "species": ["Sm", "Sm", "Sc", "Sc", "Pb", "Pb"],
  "fractional_positions": [[0.250, 0.250, 0.110], [0.750, 0.750, 0.890], [0.250, 0.250, 0.421], [0.750, 0.750, 0.579], [0.250, 0.250, 0.709], [0.750, 0.750, 0.291]],
  "polymorph_energy_ev_per_atom": 0.172,
  "magnetic_moment_mub_per_atom": 0.20,
  "volume_a3_per_fu": 83.6,
  "formation_enthalpy_0k_ev_per_atom": -0.2885,
  "final_energy_ev_per_atom": -5.21
}

{
  "formula": "Na3YPd2O6",
  "functional": "PBE",
  "state": "relaxed",
  "cell": [[2.771, -4.938, 0.000], [2.771, 4.938, 0.000], [-1.724, 0.000, 5.531]],
  "species": ["Na", "Na", "Na", "Y", "Pd", "Pd", "O", "O", "O", "O", "O", "O"],
  "fractional_positions": [[0.000, 0.000, 0.000], [0.325, 0.675, 0.000], [0.675, 0.325, 0.000], [0.500, 0.500, 0.500], [0.165, 0.835, 0.500], [0.835, 0.165, 0.500], [0.073, 0.412, 0.288], [0.233, 0.233, 0.727], [0.412, 0.073, 0.288], [0.588, 0.927, 0.712], [0.767, 0.767, 0.273], [0.927, 0.588, 0.712]],
  "magnetic_moment_mub_per_atom": 0.17,
  "e_form_raw_ev_per_atom": -1.445,
  "volume_a3_per_fu": 151.4,
  "final_energy_ev_per_atom": -5.66
}

{
  "formula": "CePu2U",
  "functional": "PBE",
  "state": "relaxed",
  "cell": [[3.281, 0.000, 0.000], [0.000, 3.281, 0.000], [0.000, 0.000, 8.809]],
  "species": ["Ce", "Pu", "Pu", "U"],
  "fractional_positions": [[0.000, 0.000, 0.000], [0.500, 0.500, 0.279], [0.500, 0.500, 0.721], [0.000, 0.000, 0.500]],
  "magnetic_moment_mub_per_atom": 2.41,
  "volume_a3_per_fu": 94.8,
  "formation_enthalpy_0k_ev_per_atom": 0.1972,
  "final_energy_ev_per_atom": -11.27
}

{
  "formula": "CsSbS4",
  "functional": "PBE",
  "state": "relaxed",
  "cell": [[3.912, -9.147, 0.000], [3.912, 9.147, 0.000], [-0.567, 0.000, 6.749]],
  "species": ["Cs", "Cs", "Sb", "Sb", "S", "S", "S", "S", "S", "S", "S", "S"],
  "fractional_positions": [[0.108, 0.892, 0.750], [0.892, 0.108, 0.250], [0.460, 0.540, 0.250], [0.540, 0.460, 0.750], [0.151, 0.657, 0.330], [0.260, 0.339, 0.902], [0.339, 0.260, 0.402], [0.343, 0.849, 0.170], [0.657, 0.151, 0.830], [0.661, 0.740, 0.598], [0.740, 0.661, 0.098], [0.849, 0.343, 0.670]],
  "magnetic_moment_mub_per_atom": 0.32,
  "e_form_raw_ev_per_atom": -0.269,
  "volume_a3_per_fu": 241.5,
  "final_energy_ev_per_atom": -3.85
}

{
  "formula": "TaNiSb3",
  "functional": "PBE",
  "state": "relaxed",
  "cell": [[4.902, 0.000, 0.000], [0.000, 4.902, 0.000], [0.000, 0.000, 4.902]],
  "species": ["Ta", "Ni", "Sb", "Sb", "Sb"],
  "fractional_positions": [[0.000, 0.000, 0.000], [0.500, 0.500, 0.500], [0.000, 0.500, 0.500], [0.500, 0.000, 0.500], [0.500, 0.500, 0.000]],
  "polymorph_energy_ev_per_atom": 0.000,
  "magnetic_moment_mub_per_atom": 0.25,
  "e_form_raw_ev_per_atom": 0.826,
  "volume_a3_per_fu": 117.8,
  "final_energy_ev_per_atom": -5.17
}